## LiFe3Sn (GGA-PBEsol)

Data for an optimized crystal structure of LiFe3Sn.

Values from the calculation:
Density, g cm⁻³: 7.32
DOS(E_F), states/eV per atom: 1.126
Uncorrected energy, eV for the cell shown: -28.9
Space group: No. 221

The structure in POSCAR format:
```
LiFe3Sn
1.0
4.052 0.000 0.000
0.000 4.052 0.000
0.000 0.000 4.052
Li Fe Sn
1 3 1
direct
0.000 0.000 0.000 Li
0.000 0.000 0.500 Fe
0.500 0.000 0.000 Fe
0.000 0.500 0.000 Fe
0.500 0.500 0.500 Sn
```